DFT (PBE-GGA) results for crystalline SiIr3Ru at its relaxed geometry.

Cell and atoms, written as CIF:
```
data_SiIr3Ru
_chemical_formula_sum 'Si1 Ir3 Ru1'
_space_group_name_H-M_alt 'P 1'
_space_group_IT_number 1
_space_group_name_Hall 'P 1'
_cell_length_a 4.4086
_cell_length_b 4.4086
_cell_length_c 4.4086
_cell_angle_alpha 90.00
_cell_angle_beta 90.00
_cell_angle_gamma 90.00
loop_
_atom_site_label
_atom_site_fract_x
_atom_site_fract_y
_atom_site_fract_z
Si1 0.0000 0.0000 0.0000
Ir1 0.0000 0.0000 0.5000
Ir2 0.0000 0.5000 0.0000
Ir3 0.5000 0.0000 0.0000
Ru1 0.5000 0.5000 0.5000
```

## Properties
Its total energy is -7.23 eV per atom. The value obtained for the formation energy (no corrections) is 1.031 eV per atom. Its space-group type is Pm-3m, No. 221. The density of states at the Fermi level comes out at 1.30 states/eV/atom. For the energy above the most stable polymorph in this dataset, the calculation gives 0.0 meV/atom.